## Tm3ThTe4 (PBE)

Data for crystalline Tm3ThTe4 at its relaxed geometry.

Cell lengths 8.890, 12.316, 4.245 Å; angles 90.00, 90.00, 90.00 degrees
Space group Cmmm (No. 65)
Unique sites:
Tm  0.000  0.000  0.000 (multiplicity 2)
Tm  0.250  0.250  0.500 (multiplicity 4)
Th  0.000  0.500  0.000 (multiplicity 2)
Te  0.000  0.244  0.000 (multiplicity 4)
Te  0.238  0.000  0.500 (multiplicity 4)

Summary:
E_form (uncorrected) = -107 kJ per mole of atoms